First-principles (PBE+U) data for an optimized crystal structure of V2GaF8, as listed in Alexandria.

Cell and atoms, written as POSCAR:
```
V2GaF8
1.0
6.269 0.000 0.000
-3.135 5.429 0.000
0.000 0.000 4.155
V Ga F
2 1 8
direct
0.333 0.667 0.249
0.667 0.333 0.751
0.000 0.000 0.500
0.151 0.303 0.256
0.151 0.849 0.256
0.303 0.151 0.744
0.333 0.667 0.752
0.667 0.333 0.248
0.697 0.849 0.256
0.849 0.151 0.744
0.849 0.697 0.744
```

Properties
Uncorrected energy (eV per atom): -5.494
SG: P-3m1
Total magnetic moment (μB per formula unit): 5.0